VASP calculation (PBE+U) on a relaxed Mn3O2F4 crystal.

* magnetic moment: 13.00 μB per formula unit
* calculated total energy: -6.596 eV per atom
* offset from the most stable computed form: 28 meV/atom

Cell: 4.7389 5.8403 7.9159 Å, 87.42 88.42 87.74°
Last column: nearest neighbours and their distance in Å.
Positions (direct):
Mn (0.5263, 0.5072, 0.0035)  3 O 1.95-2.03, 2 F 2.14-2.16
Mn (0.0046, 0.3427, 0.6735)  2 O 1.95-1.99, 4 F 2.09-2.13
Mn (0.4638, 0.1842, 0.3475)  2 O 1.90-1.99, 3 F 2.02-2.11
Mn (0.5068, 0.8315, 0.6606)  4 F 2.04-2.20, 2 O 2.09-2.13
Mn (0.9988, 0.6470, 0.3100)  2 O 1.89-1.91, 2 F 2.06-2.08
Mn (0.9853, 0.9865, 0.0056)  5 F 2.03-2.27, 1 O 2.05
F (0.7987, 0.3633, 0.4430)  3 Mn 2.09-2.16
F (0.2108, 0.3018, 0.9040)  3 Mn 2.09-2.27
F (0.7035, 0.8646, 0.4212)  3 Mn 2.06-2.21
F (0.6886, 0.1884, 0.1269)  3 Mn 2.02-2.19
F (0.8019, 0.0518, 0.7684)  3 Mn 2.09-2.16
F (0.1835, 0.6331, 0.5458)  3 Mn 2.08-2.20
F (0.2031, 0.9615, 0.2353)  3 Mn 2.07-2.16
F (0.3044, 0.8041, 0.8912)  3 Mn 2.03-2.16
O (0.3052, 0.4643, 0.2253)  3 Mn 1.89-2.03
O (0.2969, 0.1381, 0.5664)  2 Mn 1.90-1.99
O (0.7065, 0.5400, 0.7718)  3 Mn 1.95-2.09
O (0.8113, 0.6896, 0.1000)  3 Mn 1.91-2.05